[1]
DFT (PBE-GGA) results for a relaxed SbIr2Se crystal.

Cell: 2.9791 5.1738 9.1938 Å, 90.00 90.00 90.00°
Fractional positions:
1 Sb 0.0000 0.0000 0.0000
2 Sb 0.5000 0.5000 0.0000
3 Ir 0.0000 0.5000 0.2571
4 Ir 0.0000 0.5000 0.7429
5 Ir 0.5000 0.0000 0.2571
6 Ir 0.5000 0.0000 0.7429
7 Se 0.0000 0.0000 0.5000
8 Se 0.5000 0.5000 0.5000

## Properties
**Formation energy without anion corrections**: 0.64 eV/atom
**Crystal system**: orthorhombic
**Space-group type**: Cmmm (65)

---

[2]
DFT (PBE-GGA) results for a relaxed SbIrSe2 crystal.

Cell: 6.4490 3.7282 7.8203 Å, 90.00 105.82 90.00°
Fractional positions:
1 Sb 0.0000 0.0000 0.0000
2 Sb 0.5000 0.5000 0.0000
3 Ir 0.2441 0.5000 0.2351
4 Ir 0.7441 0.0000 0.2351
5 Se 0.2533 0.0000 0.7584
6 Se 0.4637 0.0000 0.3951
7 Se 0.7533 0.5000 0.7584
8 Se 0.9637 0.5000 0.3951

## Properties
**Formation energy without anion corrections**: -0.04 eV/atom
**Crystal system**: monoclinic
**Space-group type**: Cm (8)

---

[3]
DFT (PBE-GGA) results for a relaxed SbIrSe2 crystal.

Cell: 3.1892 4.8566 4.9787 Å, 90.00 90.00 90.00°
Fractional positions:
1 Sb 0.0000 0.0000 0.0000
2 Ir 0.5000 0.0000 0.5000
3 Se 0.0000 0.5000 0.5000
4 Se 0.5000 0.5000 0.0000

## Properties
**Formation energy without anion corrections**: 0.54 eV/atom
**Crystal system**: orthorhombic
**Space-group type**: Pmmm (47)

---

[4]
DFT (PBE-GGA) results for a relaxed SbIrSe2 crystal.

Cell: 3.3146 5.4884 9.3717 Å, 90.00 90.00 90.00°
Fractional positions:
1 Sb 0.0000 0.0000 0.0000
2 Sb 0.5000 0.5000 0.0000
3 Ir 0.0000 0.0000 0.5000
4 Ir 0.5000 0.5000 0.5000
5 Se 0.0000 0.5000 0.2990
6 Se 0.0000 0.5000 0.7010
7 Se 0.5000 0.0000 0.2990
8 Se 0.5000 0.0000 0.7010

## Properties
**Formation energy without anion corrections**: 0.43 eV/atom
**Crystal system**: orthorhombic
**Space-group type**: Cmmm (65)

---

[5]
DFT (PBE-GGA) results for a relaxed SbIr2Se crystal.

Cell: 6.2344 7.1361 3.1204 Å, 90.00 90.00 90.00°
Fractional positions:
1 Sb 0.0000 0.0000 0.0000
2 Sb 0.5000 0.5000 0.0000
3 Ir 0.2500 0.2500 0.5000
4 Ir 0.2500 0.7500 0.5000
5 Ir 0.7500 0.2500 0.5000
6 Ir 0.7500 0.7500 0.5000
7 Se 0.0000 0.5000 0.0000
8 Se 0.5000 0.0000 0.0000

## Properties
**Formation energy without anion corrections**: 0.44 eV/atom
**Crystal system**: orthorhombic
**Space-group type**: Cmmm (65)

---

[6]
DFT (PBE-GGA) results for a relaxed SbIrSe crystal.

Cell: 6.4847 6.2638 6.4819 Å, 90.00 103.89 90.00°
Fractional positions:
1 Sb 0.1423 0.1286 0.3590
2 Sb 0.1423 0.3714 0.8590
3 Sb 0.8577 0.6286 0.1410
4 Sb 0.8577 0.8714 0.6410
5 Ir 0.2569 0.5045 0.2537
6 Ir 0.2569 0.9955 0.7537
7 Ir 0.7431 0.0045 0.2463
8 Ir 0.7431 0.4955 0.7463
9 Se 0.3569 0.6265 0.6457
10 Se 0.3569 0.8735 0.1457
11 Se 0.6431 0.1265 0.8543
12 Se 0.6431 0.3735 0.3543

## Properties
**Formation energy without anion corrections**: -0.44 eV/atom
**Crystal system**: monoclinic
**Space-group type**: P2_1/c (14)